# 1
Er2InPd3 | GGA-PBE | relaxed

Geometry as POSCAR:
```
Er2InPd3
1.0
5.699 0.000 0.000
0.000 7.180 -0.006
0.000 -3.005 6.521
Pd In Er
6 2 4
Direct
0.470 0.157 0.843
0.970 0.843 0.157
0.470 0.843 0.157
0.470 0.500 0.500
0.970 0.157 0.843
0.970 0.500 0.500
0.220 0.195 0.195
0.720 0.805 0.805
0.720 0.489 0.154
0.220 0.846 0.511
0.720 0.154 0.489
0.220 0.511 0.846
```

Output
formation energy from the elements	-0.74	eV/atom
E_tot	-5.311	eV per atom

---

# 2
Er5In2Pd2 | GGA-PBE | relaxed

Geometry as POSCAR:
```
Er5In2Pd2
1.0
7.145 0.000 0.000
0.000 8.504 0.000
0.000 -4.252 7.704
Er Pd In
10 4 4
Direct
0.500 0.500 0.000
0.343 0.695 0.754
0.000 0.000 0.000
0.343 0.940 0.246
0.657 0.060 0.754
0.157 0.440 0.246
0.157 0.195 0.754
0.843 0.805 0.246
0.843 0.560 0.754
0.657 0.305 0.246
0.866 0.377 0.000
0.366 0.123 0.000
0.134 0.623 0.000
0.634 0.877 0.000
0.500 0.712 0.424
0.000 0.788 0.576
0.000 0.212 0.424
0.500 0.288 0.576
```

Output
formation energy from the elements	-0.57	eV/atom
E_tot	-4.867	eV per atom

---

# 3
ErInPd4 | GGA-PBE | relaxed

Geometry as POSCAR:
```
ErInPd4
1.0
3.704 0.000 1.071
2.053 4.709 -0.159
0.154 -1.591 6.407
Pd Er In
4 1 1
Direct
0.342 0.991 0.325
0.171 0.493 0.165
0.829 0.507 0.835
0.658 0.009 0.675
0.500 0.500 0.500
0.000 0.000 0.000
```

Output
energy above the lowest structure with this stoichiometry	0	meV/atom
formation energy from the elements	-0.67	eV/atom
E_tot	-5.354	eV per atom